ZrTcNiB PBE relaxed; magnetization = 0.0001 μB/atom; crystal system = cubic; uncorrected energy = -0.277 hartree per atom
1.0
-2.4236 -1.0635 3.2933
-0.2896 2.5828 3.3310
-3.5930 2.0951 0.7425
Tc Ni Zr B
1 1 1 1
Cartesian
-1.5765 0.9036 1.8417
-4.7296 2.7108 5.5251
-3.1531 1.8072 3.6834
0.0000 0.0000 0.0000

NiBTe2 PBE relaxed; magnetization = 0.0004 μB/atom; crystal system = cubic; uncorrected energy = -0.122 hartree per atom
1.0
2.3856 1.3774 3.8957
-2.3856 1.3774 3.8957
0.0000 -2.7547 3.8957
Ni B Te
1 1 2
Cartesian
0.0000 0.0000 0.0000
0.0000 0.0000 8.7654
0.0000 0.0000 2.9218
0.0000 0.0000 5.8436